Here is crystalline YHf2BP at its relaxed geometry from Alexandria via LeMat-Bulk. Energies are from GGA-PBE.

The space group is P4/mmm (No. 123) and the conventional cell measures 4.485, 4.485 and 4.931 Å, with angles of 90.00, 90.00 and 90.00 degrees. The asymmetric unit holds Y at (0.000, 0.000, 0.000), Hf at (0.000, 0.500, 0.500), B at (0.000, 0.000, 0.500) and P at (0.500, 0.500, 0.000).

The calculation puts the energy relative to the elements at -184.9 meV/atom. The raw total energy is -7.88 eV per atom. For the volume, the calculation gives 99.2 Å³/cell. The calculation puts the mass density at 8163 kg/m3.